Entry 1:
The following is a DFT calculation (PBE) of crystalline Tb2PmDy5Tm at its relaxed geometry.

Properties
Energy relative to the elements: 2.7 eV/f.u.
Space group: No. 140
Raw total energy: -77.68 eV for the cell shown
Density of states at the Fermi level: 1.299 states/eV/atom
Crystal system: tetragonal
V: 292.1 Å³/f.u.

POSCAR file:
```
Tb2PmDy5Tm
1.0
-4.4605 4.4605 7.3415
4.4605 -4.4605 7.3415
4.4605 4.4605 -7.3415
Tb Pm Dy Tm
4 2 10 2
direct
0.1128 0.6128 0.7255
0.3872 0.1128 0.5000
0.6128 0.8872 0.5000
0.8872 0.3872 0.2745
0.2500 0.2500 0.0000
0.7500 0.7500 0.0000
0.0000 0.0000 0.0000
0.0728 0.1610 0.5000
0.1610 0.6610 0.0882
0.3390 0.4272 0.5000
0.4272 0.9272 0.0882
0.5000 0.5000 0.0000
0.5728 0.0728 0.9118
0.6610 0.5728 0.5000
0.8390 0.3390 0.9118
0.9272 0.8390 0.5000
0.2500 0.7500 0.5000
0.7500 0.2500 0.5000
```

***

Entry 2:
The following is a DFT calculation (PBE) of crystalline ErHf2Al6 at its relaxed geometry.

Properties
Energy relative to the elements: -3.4 eV/f.u.
Space group: No. 191
Relative energy among the computed polymorphs: 0 meV per atom
Raw total energy: -50.30 eV for the cell shown
Density of states at the Fermi level: 0.425 states/eV/atom
Crystal system: hexagonal
V: 166.5 Å³/f.u.

POSCAR file:
```
ErHf2Al6
1.0
7.7844 0.0000 0.0000
-3.8922 6.7415 0.0000
0.0000 0.0000 3.1735
Er Hf Al
1 2 6
direct
0.0000 0.0000 0.0000
0.3333 0.6667 0.0000
0.6667 0.3333 0.0000
0.0000 0.3367 0.5000
0.0000 0.6633 0.5000
0.3367 0.0000 0.5000
0.3367 0.3367 0.5000
0.6633 0.0000 0.5000
0.6633 0.6633 0.5000
```